Entry 1:
VASP calculation (GGA-PBE) on K3InAu2O6 after structural relaxation.

The calculation puts the formation energy without anion corrections at -0.711 eV per atom. The calculation puts the density of states at the Fermi level at 6.2 states/eV/cell. The total energy comes out at -4.24 eV per atom.

The space group is P-3m1 (No. 164) and the conventional cell measures 6.2433, 6.2433 and 7.3619 Å, with angles of 90.00, 90.00 and 120.00 degrees. Symmetry generates all atoms from K at (0.0000, 0.0000, 0.0000), K at (0.3333, 0.6667, 0.7419), In at (0.0000, 0.0000, 0.5000), Au at (0.3333, 0.6667, 0.3023) and O at (0.1479, 0.2959, 0.2948).

=====

Entry 2:
VASP calculation (GGA-PBE) on KInPAu2 after structural relaxation.

The calculation puts the density of states at the Fermi level at 2.6 states/eV/cell. The total energy comes out at -3.13 eV per atom. The value obtained for the formation energy from the elements is 30.5 meV per atom.

The space group is P4/mmm (No. 123) and the conventional cell measures 4.9232, 4.9232 and 5.4608 Å, with angles of 90.00, 90.00 and 90.00 degrees. Symmetry generates all atoms from K at (0.0000, 0.0000, 0.0000), In at (0.5000, 0.5000, 0.0000), P at (0.5000, 0.5000, 0.5000) and Au at (0.0000, 0.5000, 0.5000).